1.
# Tl8Bi

A geometry-optimized Tl8Bi structure (PBE, Alexandria).

a b c (Å): 5.1336 7.8256 7.8256
angles (deg): 83.82 70.85 70.85
With the nearest neighbours (Å) after each atom.
Fractional coordinates of all 9 atoms:
Tl (0.6675, 0.3325, 0.3325)  1 Bi 3.48, 11 Tl 3.50-3.57
Tl (0.3352, 0.0000, 0.3296)  10 Tl 3.45-3.60, 2 Bi 3.54
Tl (0.0000, 0.3325, 0.6675)  1 Bi 3.48, 11 Tl 3.50-3.57
Tl (0.6648, 0.0000, 0.6704)  10 Tl 3.45-3.60, 2 Bi 3.54
Tl (0.3352, 0.3296, 0.0000)  10 Tl 3.45-3.60, 2 Bi 3.54
Tl (0.3325, 0.6675, 0.6675)  1 Bi 3.48, 11 Tl 3.50-3.57
Tl (0.6648, 0.6704, 0.0000)  10 Tl 3.45-3.60, 2 Bi 3.54
Tl (0.0000, 0.6675, 0.3325)  1 Bi 3.48, 11 Tl 3.50-3.57
Bi (0.0000, 0.0000, 0.0000)  12 Tl 3.48-3.54

Results
N(E_F) = 3.59 states/eV/f.u.

2.
# Tm3Al5Pd

A geometry-optimized Tm3Al5Pd structure (PBE, Alexandria).

a b c (Å): 4.3555 6.9243 6.9243
angles (deg): 120.00 90.00 90.00
With the nearest neighbours (Å) after each atom.
Fractional coordinates of all 9 atoms:
Al (0.5000, 0.0000, 0.7647)  4 Al 2.71-2.82, 2 Pd 2.72
Al (0.5000, 0.6667, 0.3333)  3 Al 2.71, 6 Tm 3.01
Al (0.5000, 0.3333, 0.6667)  3 Al 2.71, 6 Tm 3.01
Al (0.5000, 0.2353, 0.2353)  4 Al 2.71-2.82, 2 Pd 2.72
Al (0.5000, 0.7647, 0.0000)  4 Al 2.71-2.82, 2 Pd 2.72
Tm (0.0000, 0.5832, 0.5832)  1 Pd 2.89, 4 Al 3.01
Tm (0.0000, 0.4168, 0.0000)  1 Pd 2.89, 4 Al 3.01
Tm (0.0000, 0.0000, 0.4168)  1 Pd 2.89, 4 Al 3.01
Pd (0.0000, 0.0000, 0.0000)  6 Al 2.72, 3 Tm 2.89

Results
N(E_F) = 3.70 states/eV/f.u.

Let's list energy of formation from the pure elements in order: -8 -654 meV per atom.